VASP calculation (PBE-GGA) on an optimized crystal structure of AcLaHoPb.

a b c (Å): 5.7175 5.7175 5.7175
angles (deg): 60.00 60.00 60.00
Sites, in units of the cell vectors:
Ac1 0.0000 0.0000 0.0000
La1 0.2500 0.2500 0.2500
Ho1 0.7500 0.7500 0.7500
Pb1 0.5000 0.5000 0.5000

## Properties
Crystal system: cubic
M_tot (μB/cell): 0.00
Energy of formation (meV/atom): -98

***

VASP calculation (PBE-GGA) on an optimized crystal structure of AcLaPmHo.

a b c (Å): 5.9363 5.9363 5.9363
angles (deg): 60.00 60.00 60.00
Sites, in units of the cell vectors:
Ac1 0.0000 0.0000 0.0000
La1 0.5000 0.5000 0.5000
Pm1 0.7500 0.7500 0.7500
Ho1 0.2500 0.2500 0.2500

## Properties
Crystal system: cubic
M_tot (μB/cell): 0.00
ΔE to the lowest computed polymorph (kJ/mol of atoms): 4.8
Energy of formation (meV/atom): 109

***

VASP calculation (PBE-GGA) on an optimized crystal structure of Ac2La4PmHo.

a b c (Å): 5.2973 5.3447 10.6729
angles (deg): 90.00 90.09 90.00
Sites, in units of the cell vectors:
Ac1 0.0000 0.0000 0.0000
Ac2 0.5000 0.5000 0.5000
La1 0.0006 0.5000 0.7494
La2 0.4992 0.0000 0.7479
La3 0.5008 0.0000 0.2521
La4 0.9994 0.5000 0.2506
Pm1 0.5000 0.5000 0.0000
Ho1 0.0000 0.0000 0.5000

## Properties
Crystal system: monoclinic
M_tot (μB/cell): 0.00
Energy of formation (meV/atom): 33